Entry 1:
NbSiO2 (PBE, relaxed); symmetry = R-3m, No. 166; DOS at the Fermi energy = 2.03 states/eV/cell; formation energy from raw total energies = -1.5892 eV/atom
1.0
1.6404 0.0000 6.5220
-0.8202 1.4206 6.5220
-0.8202 -1.4206 6.5220
Si Nb O
1 1 2
Direct
0.0000 0.0000 0.0000
0.5000 0.5000 0.5000
0.0921 0.0921 0.0921
0.9079 0.9079 0.9079

Entry 2:
SrCa2WBr (PBE, relaxed); symmetry = P4/mmm, No. 123; DOS at the Fermi energy = 5.21 states/eV/cell; formation energy from raw total energies = 0.6621 eV/atom
1.0
6.0492 0.0000 0.0000
0.0000 4.9208 0.0000
0.0000 0.0000 6.0492
Ca Sr Br W
2 1 1 1
Direct
0.5000 0.0000 0.0000
0.0000 0.0000 0.5000
0.5000 0.5000 0.5000
0.0000 0.5000 0.0000
0.0000 0.0000 0.0000

Entry 3:
LiTa3H (PBE, relaxed); symmetry = Pm-3m, No. 221; DOS at the Fermi energy = 5.86 states/eV/cell; energy above the most stable polymorph in this dataset = 0.0 meV/atom
1.0
-2.4514 2.2561 -2.4745
2.2045 -1.2210 -3.2972
-2.5205 -3.2621 -0.4772
Ta H Li
3 1 1
Direct
0.0000 0.5000 0.0000
0.5000 0.0000 0.0000
0.0000 0.0000 0.5000
0.0000 0.0000 0.0000
0.5000 0.5000 0.5000

Entry 4:
ZrTl2C (PBE, relaxed); symmetry = Fm-3m, No. 225; DOS at the Fermi energy = 3.20 states/eV/cell; calculated formation energy = 578.9 kJ/mol of formula units; energy above the most stable polymorph in this dataset = 709.5 meV/atom
1.0
0.0000 3.4889 3.4889
3.4889 0.0000 3.4889
3.4889 3.4889 0.0000
C Zr Tl
1 1 2
Direct
0.0000 0.0000 0.0000
0.5000 0.5000 0.5000
0.7500 0.7500 0.7500
0.2500 0.2500 0.2500

Entry 5:
CaZn2Ag2 (PBE, relaxed); symmetry = C2/c, No. 15; DOS at the Fermi energy = 3.99 states/eV/cell; calculated formation energy = -69.1 kJ/mol of formula units; energy above the most stable polymorph in this dataset = 53.8 meV/atom
1.0
-5.0658 -1.3441 3.0710
-5.8031 -1.5949 -4.2628
0.5567 -5.1818 0.5108
Ag Zn Ca
4 4 2
Direct
0.8570 0.7389 0.3114
0.1430 0.2611 0.6886
0.4040 0.7389 0.1886
0.5960 0.2611 0.8114
0.7191 0.5618 0.7500
0.4683 0.0635 0.2500
0.5317 0.9365 0.7500
0.2809 0.4382 0.2500
0.1173 0.7654 0.7500
0.8827 0.2346 0.2500

Entry 6:
K2AgH2 (PBE, relaxed); symmetry = I4/mmm, No. 139; DOS at the Fermi energy = 2.32 states/eV/cell; energy above the most stable polymorph in this dataset = 0.0 meV/atom
1.0
5.5824 0.0000 0.0000
0.0000 5.5824 0.0000
2.7912 2.7912 4.5532
H K Ag
2 2 1
Direct
0.8132 0.8132 0.3736
0.1868 0.1868 0.6264
0.2500 0.7500 0.5000
0.7500 0.2500 0.5000
0.0000 0.0000 0.0000

Entry 7:
K2MgCu2I6 (PBE, relaxed); symmetry = C2/m, No. 12; DOS at the Fermi energy = 0.00 states/eV/cell; formation energy from raw total energies = -0.8069 eV/atom
1.0
8.2303 0.0000 0.0000
-4.1152 7.0568 -0.1609
0.0000 -4.2076 7.4872
I Mg Cu K
6 1 2 2
Direct
0.2035 0.8890 0.2131
0.3145 0.1110 0.7869
0.2586 0.5172 0.3808
0.6855 0.8890 0.2131
0.7414 0.4828 0.6192
0.7965 0.1110 0.7869
0.5000 0.0000 0.5000
0.9453 0.8905 0.7296
0.0547 0.1095 0.2704
0.2763 0.5527 0.8019
0.7237 0.4473 0.1981

Entry 8:
La3TlBi (PBE, relaxed); symmetry = Pm-3m, No. 221; DOS at the Fermi energy = 4.83 states/eV/cell; calculated formation energy = -2.2 kJ/mol of formula units; energy above the most stable polymorph in this dataset = 521.3 meV/atom
1.0
5.9886 0.0000 0.0000
0.0000 5.9886 0.0000
0.0000 0.0000 5.9886
La Tl Bi
3 1 1
Direct
0.0000 0.0000 0.5000
0.0000 0.5000 0.0000
0.5000 0.0000 0.0000
0.0000 0.0000 0.0000
0.5000 0.5000 0.5000

| no. | magnetic moment (μB/atom) | raw total energy (eV/atom) |
| --- | --- | --- |
| 1 | 0.000 | -7.94 |
| 2 | 0.079 | -3.40 |
| 3 | 0.000 | -7.90 |
| 4 | 0.000 | -4.13 |
| 5 | 0.000 | -2.19 |
| 6 | 0.124 | -2.39 |
| 7 | 0.000 | -2.74 |
| 8 | 0.000 | -4.21 |